Entry 1:
A geometry-optimized OsBr4Cl structure. Source: Alexandria via LeMat-Bulk, functional GGA-PBE.

## Properties
Its polymorph energy (0 for the lowest one) is 812 kJ/mol of formula units. The space-group type is F-43m, No. 216.

Structure (POSCAR):
```
OsBr4Cl
1.0
0.0000 4.2803 4.2803
4.2803 0.0000 4.2803
4.2803 4.2803 0.0000
Os Br Cl
1 4 1
Cartesian
0.0000 0.0000 0.0000
5.3520 3.2087 3.2087
3.2087 5.3520 3.2087
3.2087 3.2087 5.3520
5.3520 5.3520 5.3520
2.1402 2.1402 2.1402
```

***

Entry 2:
A geometry-optimized Ta2Ga2I structure. Source: Alexandria via LeMat-Bulk, functional GGA-PBE.

## Properties
Its polymorph energy (0 for the lowest one) is 52 kJ/mol of formula units. The space-group type is I4/mmm, No. 139.

Structure (POSCAR):
```
Ta2Ga2I
1.0
-1.8388 1.8388 7.0829
1.8388 -1.8388 7.0829
1.8388 1.8388 -7.0829
Ta Ga I
2 2 1
Cartesian
0.0000 0.0000 1.4677
0.0000 0.0000 12.6980
1.8388 0.0000 3.5414
0.0000 1.8388 3.5414
0.0000 0.0000 7.0829
```

***

Entry 3:
A geometry-optimized SrAlTc structure. Source: Alexandria via LeMat-Bulk, functional GGA-PBE.

## Properties
Its polymorph energy (0 for the lowest one) is 173 kJ/mol of formula units. The space-group type is F-43m, No. 216. For the formation energy, the calculation gives 0.735 eV per atom.

Structure (POSCAR):
```
SrAlTc
1.0
0.0000 3.2782 3.2782
3.2782 0.0000 3.2782
3.2782 3.2782 0.0000
Sr Al Tc
1 1 1
Cartesian
0.0000 0.0000 0.0000
3.2782 3.2782 3.2782
1.6391 1.6391 1.6391
```

***

Entry 4:
A geometry-optimized SbTeW structure. Source: Alexandria via LeMat-Bulk, functional GGA-PBE.

## Properties
Its polymorph energy (0 for the lowest one) is 223 kJ/mol of formula units. The space-group type is P3m1, No. 156.

Structure (POSCAR):
```
SbTeW
1.0
4.8903 0.0000 0.0000
-2.4451 4.2351 0.0000
0.0000 0.0000 3.2079
Sb Te W
1 1 1
Cartesian
0.0000 0.0000 0.0000
2.4451 1.4117 1.9215
0.0000 2.8234 2.3715
```

***

Entry 5:
A geometry-optimized LaMnRu2 structure. Source: Alexandria via LeMat-Bulk, functional GGA-PBE.

## Properties
The space-group type is P4/mmm, No. 123. For the formation energy, the calculation gives 0.241 eV per atom.

Structure (POSCAR):
```
LaMnRu2
1.0
4.5940 0.0000 0.0000
0.0000 4.5940 0.0000
0.0000 0.0000 3.4109
La Mn Ru
1 1 2
Cartesian
0.0000 0.0000 0.0000
2.2970 2.2970 0.0000
0.0000 2.2970 1.7055
2.2970 0.0000 1.7055
```

***

Entry 6:
A geometry-optimized La6TbPmDy2 structure. Source: Alexandria via LeMat-Bulk, functional GGA-PBE.

## Properties
The space-group type is C2/m, No. 12. For the formation energy, the calculation gives 0.192 eV per atom.

Structure (POSCAR):
```
La6TbPmDy2
1.0
5.7016 -3.5749 0.0000
5.7016 3.5749 0.0000
-2.1397 0.0000 8.7651
La Tb Pm Dy
6 1 1 2
Cartesian
3.2073 1.5913 1.7148
0.6280 0.0000 3.7837
6.0561 1.5913 7.0503
3.2073 -1.5913 1.7148
8.6355 0.0000 4.9814
6.0561 -1.5913 7.0503
0.0000 0.0000 0.0000
4.6317 0.0000 4.3826
2.9057 0.0000 7.3429
6.3577 0.0000 1.4222
```

***

Entry 7:
A geometry-optimized TiAg5 structure. Source: Alexandria via LeMat-Bulk, functional GGA-PBE.

## Properties
The space-group type is Cmmm, No. 65. For the formation energy, the calculation gives 0.132 eV per atom.

Structure (POSCAR):
```
TiAg5
1.0
2.4281 -7.2418 0.0000
2.4281 7.2418 0.0000
0.0000 0.0000 3.0459
Ti Ag
1 5
Cartesian
0.0000 0.0000 0.0000
2.4281 4.8466 1.5230
2.4281 2.3909 0.0000
2.4281 0.0000 1.5230
2.4281 -2.3909 0.0000
2.4281 -4.8466 1.5230
```

***

Entry 8:
A geometry-optimized Tm6InAu5 structure. Source: Alexandria via LeMat-Bulk, functional GGA-PBE.

## Properties
The space-group type is Immm, No. 71. For the formation energy, the calculation gives -0.808 eV per atom.

Structure (POSCAR):
```
Tm6InAu5
1.0
-2.5241 3.5961 7.5862
2.5241 -3.5961 7.5862
2.5241 3.5961 -7.5862
Tm In Au
6 1 5
Cartesian
2.5241 1.7565 -2.5952
0.0000 1.7048 0.0000
2.5241 1.7565 2.5952
0.0000 1.8397 4.9910
0.0000 5.4875 0.0000
0.0000 1.8397 10.1814
0.0000 0.0000 7.5862
2.5241 0.0000 0.0000
0.0000 0.0000 2.5418
2.5241 0.0000 5.2176
0.0000 3.5961 2.3686
0.0000 0.0000 12.6306
```

***

Entry 9:
A geometry-optimized TbDyZnRh structure. Source: Alexandria via LeMat-Bulk, functional GGA-PBE.

## Properties
The space-group type is F-43m, No. 216. For the formation energy, the calculation gives -0.600 eV per atom.

Structure (POSCAR):
```
TbDyZnRh
1.0
0.0000 3.4972 3.4972
3.4972 0.0000 3.4972
3.4972 3.4972 0.0000
Tb Dy Zn Rh
1 1 1 1
Cartesian
0.0000 0.0000 0.0000
3.4972 3.4972 3.4972
1.7486 1.7486 1.7486
5.2458 5.2458 5.2458
```

***

Entry 10:
A geometry-optimized AlV2H structure. Source: Alexandria via LeMat-Bulk, functional GGA-PBE.

## Properties
Its polymorph energy (0 for the lowest one) is 0 kJ/mol of formula units. The space-group type is Cccm, No. 66.

Structure (POSCAR):
```
AlV2H
1.0
2.2950 -4.2831 0.0000
2.2950 4.2831 0.0000
0.0000 0.0000 4.5659
Al V H
2 4 2
Cartesian
1.1475 2.1415 0.0000
1.1475 -2.1415 2.2830
1.0722 0.6274 2.2830
1.0722 -0.6274 0.0000
3.5177 0.6274 0.0000
3.5177 -0.6274 2.2830
2.2950 0.0000 1.1415
2.2950 0.0000 3.4244
```

***

Entry 11:
A geometry-optimized Y3HgAu2 structure. Source: Alexandria via LeMat-Bulk, functional GGA-PBE.

## Properties
The space-group type is P4/mmm, No. 123. For the formation energy, the calculation gives -0.742 eV per atom.

Structure (POSCAR):
```
Y3HgAu2
1.0
3.6595 0.0000 0.0000
0.0000 3.6595 0.0000
0.0000 0.0000 10.8666
Y Hg Au
3 1 2
Cartesian
0.0000 0.0000 0.0000
0.0000 0.0000 3.5345
0.0000 0.0000 7.3322
1.8298 1.8298 5.4333
1.8298 1.8298 1.7963
1.8298 1.8298 9.0703
```

***

Entry 12:
A geometry-optimized Y2Ho6Tl structure. Source: Alexandria via LeMat-Bulk, functional GGA-PBE.

## Properties
The space-group type is P4_2/mnm, No. 136. For the formation energy, the calculation gives -0.040 eV per atom.

Structure (POSCAR):
```
Y2Ho6Tl
1.0
10.6234 0.0000 0.0000
0.0000 10.6234 0.0000
0.0000 0.0000 4.8439
Y Ho Tl
4 12 2
Cartesian
1.6907 1.6907 0.0000
3.6210 7.0024 2.4219
7.0024 3.6210 2.4219
8.9327 8.9327 0.0000
0.0179 7.0430 2.4219
1.7313 5.2938 0.0000
1.7500 8.8734 0.0000
3.5617 3.5617 2.4219
3.5804 10.6055 2.4219
5.2938 1.7313 0.0000
5.3296 8.8921 0.0000
7.0430 0.0179 2.4219
7.0617 7.0617 2.4219
8.8734 1.7500 0.0000
8.8921 5.3296 0.0000
10.6055 3.5804 2.4219
0.0000 0.0000 2.4219
5.3117 5.3117 0.0000
```

***

Entry 13:
A geometry-optimized ZnGa2Au structure. Source: Alexandria via LeMat-Bulk, functional GGA-PBE.

## Properties
The space-group type is P4/mmm, No. 123. For the formation energy, the calculation gives -0.028 eV per atom.

Structure (POSCAR):
```
ZnGa2Au
1.0
4.1150 0.0000 0.0000
0.0000 4.1150 0.0000
0.0000 0.0000 4.0918
Zn Ga Au
1 2 1
Cartesian
0.0000 0.0000 0.0000
0.0000 2.0575 2.0459
2.0575 0.0000 2.0459
2.0575 2.0575 0.0000
```

***

Entry 14:
A geometry-optimized KGaNF2 structure. Source: Alexandria via LeMat-Bulk, functional GGA-PBE.

## Properties
Its polymorph energy (0 for the lowest one) is 0 kJ/mol of formula units. The space-group type is P4/mmm, No. 123.

Structure (POSCAR):
```
KGaNF2
1.0
4.3223 0.0000 0.0000
0.0000 4.3223 0.0000
0.0000 0.0000 3.7132
K Ga N F
1 1 1 2
Cartesian
0.0000 0.0000 0.0000
2.1611 2.1611 1.8566
2.1611 2.1611 0.0000
0.0000 2.1611 1.8566
2.1611 0.0000 1.8566
```

***

Entry 15:
A geometry-optimized Tc3SnN structure. Source: Alexandria via LeMat-Bulk, functional GGA-PBE.

## Properties
Its polymorph energy (0 for the lowest one) is 340 kJ/mol of formula units. The space-group type is Cmcm, No. 63.

Structure (POSCAR):
```
Tc3SnN
1.0
3.0291 -6.6867 0.0000
3.0291 6.6867 0.0000
0.0000 0.0000 4.8176
Tc Sn N
6 2 2
Cartesian
0.0000 0.0000 0.0000
0.0000 0.0000 2.4088
1.5241 1.8641 3.6132
1.5241 -1.8641 1.2044
4.5340 1.8641 3.6132
4.5340 -1.8641 1.2044
3.0291 4.1917 3.6132
3.0291 -4.1917 1.2044
3.0291 0.8832 3.6132
3.0291 -0.8832 1.2044
```